VASP calculation (PBE-GGA) on an optimized crystal structure of Sr2ErAgTe4.

E_form (uncorrected): -1239 meV/atom

Cell: 7.839 4.544 7.952 Å, 90.00 110.04 90.00°
Space group P2/m (No. 10)
Inequivalent atoms, fractional coordinates:
Sr 0.000 0.000 0.000 [1 per cell]
Sr 0.000 0.500 0.500 [1 per cell]
Er 0.500 0.000 0.500 [1 per cell]
Ag 0.500 0.500 0.000 [1 per cell]
Te 0.271 0.500 0.264 [2 per cell]
Te 0.280 0.000 0.757 [2 per cell]